Record 1
VASP calculation (PBE-GGA) on a relaxed EuHgAu2 crystal.

abc: 5.094 5.094 5.094
angles: 60.00 60.00 60.00
Sites, in units of the cell vectors:
Eu: 0.500 0.500 0.500
Au: 0.250 0.250 0.250
Hg: 0.000 0.000 0.000
Au: 0.750 0.750 0.750

Summary:
- space group = Fm-3m, No. 225
- mass density (g cm⁻³) = 13.263
- E above lowest polymorph (meV per atom) = 0.0
- formation enthalpy at 0 K (eV per atom) = -0.532
- total energy (eV/cell) = -19.26



Record 2
VASP calculation (PBE-GGA) on a relaxed Na2TlHgSb crystal.

abc: 5.876 5.876 6.237
angles: 90.00 90.00 90.00
Sites, in units of the cell vectors:
Tl: 0.000 0.000 0.500
Hg: 0.500 0.500 0.500
Na: 0.000 0.500 0.000
Sb: 0.000 0.000 0.000
Na: 0.500 0.000 0.000

Summary:
- raw formation energy (kJ/mol of formula units) = -30
- space group = P4/mmm, No. 123
- mass density (g cm⁻³) = 4.416
- total energy (eV/cell) = -9.74



Record 3
VASP calculation (PBE-GGA) on a relaxed TbMgAg6 crystal.

abc: 4.371 4.371 8.221
angles: 90.00 90.00 90.00
Sites, in units of the cell vectors:
Ag: 0.500 0.000 0.736
Ag: 0.000 0.500 0.736
Tb: 0.000 0.000 0.000
Mg: 0.000 0.000 0.500
Ag: 0.500 0.500 0.500
Ag: 0.500 0.500 0.000
Ag: 0.000 0.500 0.264
Ag: 0.500 0.000 0.264

Summary:
- space group = P4/mmm, No. 123
- mass density (g cm⁻³) = 8.778
- formation enthalpy at 0 K (eV per atom) = -0.109
- total energy (eV/cell) = -24.20



Record 4
VASP calculation (PBE-GGA) on a relaxed LiSmHoAu crystal.

abc: 5.147 5.147 5.147
angles: 60.00 60.00 60.00
Sites, in units of the cell vectors:
Sm: 0.250 0.250 0.250
Ho: 0.750 0.750 0.750
Au: 0.000 0.000 0.000
Li: 0.500 0.500 0.500

Summary:
- space group = F-43m, No. 216
- mass density (g cm⁻³) = 8.940
- formation enthalpy at 0 K (eV per atom) = -0.381
- total energy (eV/cell) = -16.01



Record 5
VASP calculation (PBE-GGA) on a relaxed Li2CdSe crystal.

abc: 4.417 3.732 4.416
angles: 90.02 90.00 90.00
Sites, in units of the cell vectors:
Li: 0.000 0.124 0.876
Cd: 0.500 0.624 0.875
Li: 0.500 0.125 0.375
Se: 0.000 0.626 0.374

Summary:
- raw formation energy (kJ/mol of formula units) = -239
- space group = P4mm, No. 99
- mass density (g cm⁻³) = 4.682
- E above lowest polymorph (meV per atom) = 76.2
- total energy (eV/cell) = -10.71



Record 6
VASP calculation (PBE-GGA) on a relaxed HoMn6 crystal.

abc: 4.785 7.953 10.007
angles: 90.00 90.00 90.00
Sites, in units of the cell vectors:
Ho: 0.250 0.754 0.066
Mn: 0.250 0.555 0.592
Mn: 0.750 0.085 0.473
Mn: 0.250 0.140 0.142
Mn: 0.984 0.569 0.809
Mn: 0.484 0.931 0.309
Ho: 0.250 0.254 0.434
Mn: 0.750 0.360 0.642
Mn: 0.016 0.431 0.191
Mn: 0.750 0.945 0.092
Mn: 0.750 0.193 0.242
Mn: 0.250 0.640 0.358
Ho: 0.750 0.746 0.566
Mn: 0.250 0.807 0.758
Mn: 0.984 0.069 0.691
Mn: 0.516 0.069 0.691
Mn: 0.750 0.693 0.258
Mn: 0.250 0.915 0.527
Mn: 0.016 0.931 0.309
Mn: 0.484 0.431 0.191
Mn: 0.516 0.569 0.809
Mn: 0.250 0.307 0.742
Mn: 0.750 0.585 0.027
Mn: 0.750 0.445 0.408
Ho: 0.750 0.246 0.934
Mn: 0.250 0.415 0.973
Mn: 0.250 0.055 0.908
Mn: 0.750 0.860 0.858

Summary:
- space group = Pnma, No. 62
- mass density (g cm⁻³) = 8.626
- E above lowest polymorph (meV per atom) = 0.0
- formation enthalpy at 0 K (eV per atom) = 0.055
- total energy (eV/cell) = -236.84